# MnGaF2

A geometry-optimized MnGaF2 structure (GGA+U, the Alexandria database).

a b c (Å): 8.3336 8.3336 8.3336
angles (deg): 22.63 22.63 22.63
With the nearest neighbours (Å) after each atom.
Element x y z (fractional)
Mn1 0.5000 0.5000 0.5000  6 F 2.15
Ga1 0.0000 0.0000 0.0000  2 F 3.03, 6 Ga 3.27
F1 0.8755 0.8755 0.8755  3 Mn 2.15
F2 0.1245 0.1245 0.1245  3 Mn 2.15

Computed properties:
Final energy: -5.319 eV per atom